Entry 1:
Below is PaTlN after structural relaxation, with properties calculated at the PBE level.

POSCAR file:
```
PaTlN
1.0
3.796 0.000 0.000
-1.898 3.287 0.000
0.000 0.000 5.499
Pa Tl N
1 1 1
Direct
0.000 0.000 0.000
0.333 0.667 0.500
0.667 0.333 0.000
```

Properties
Spin magnetization, μB per formula unit: 0.00
Formation energy from raw total energies, eV per formula unit: -2.199
Crystal system: hexagonal
Distance to the lowest polymorph of the same formula, meV per atom: 0



Entry 2:
Below is Sm3ErMg6 after structural relaxation, with properties calculated at the PBE level.

POSCAR file:
```
Sm3ErMg6
1.0
9.360 0.000 0.000
0.000 5.296 0.000
-2.995 0.000 10.923
Sm Er Mg
6 2 12
Direct
0.040 0.250 0.396
0.150 0.750 0.209
0.253 0.250 0.005
0.747 0.750 0.995
0.850 0.250 0.791
0.960 0.750 0.604
0.451 0.250 0.599
0.549 0.750 0.401
0.060 0.750 0.902
0.168 0.250 0.707
0.262 0.750 0.514
0.355 0.750 0.808
0.363 0.250 0.304
0.454 0.750 0.103
0.546 0.250 0.897
0.637 0.750 0.696
0.645 0.250 0.192
0.738 0.250 0.486
0.832 0.750 0.293
0.940 0.250 0.098
```

Properties
Spin magnetization, μB per formula unit: 0.00
Energy of formation from the pure elements, meV per atom: -70.3
Crystal system: monoclinic



Entry 3:
Below is KCu12S6 after structural relaxation, with properties calculated at the PBE level.

POSCAR file:
```
KCu12S6
1.0
5.100 2.944 3.566
-5.100 2.944 3.566
0.000 -5.889 3.566
K Cu S
1 12 6
Direct
0.000 0.000 0.000
0.115 0.394 0.394
0.241 0.500 0.759
0.241 0.759 0.500
0.394 0.115 0.394
0.394 0.394 0.115
0.500 0.241 0.759
0.500 0.759 0.241
0.606 0.606 0.885
0.606 0.885 0.606
0.759 0.241 0.500
0.759 0.500 0.241
0.885 0.606 0.606
0.184 0.184 0.610
0.184 0.610 0.184
0.390 0.816 0.816
0.610 0.184 0.184
0.816 0.390 0.816
0.816 0.816 0.390
```

Properties
Spin magnetization, μB per formula unit: 0.00
Formation energy from raw total energies, eV per formula unit: -3.431
Crystal system: trigonal



Entry 4:
Below is Mg7GaPd2 after structural relaxation, with properties calculated at the PBE level.

POSCAR file:
```
Mg7GaPd2
1.0
4.040 -6.328 0.000
4.040 6.328 0.000
0.000 0.000 4.909
Mg Ga Pd
7 1 2
Direct
0.000 0.000 0.000
0.184 0.438 0.000
0.244 0.756 0.500
0.438 0.184 0.000
0.562 0.816 0.000
0.756 0.244 0.500
0.816 0.562 0.000
0.500 0.500 0.500
0.202 0.798 0.000
0.798 0.202 0.000
```

Properties
Spin magnetization, μB per formula unit: 0.00
Energy of formation from the pure elements, meV per atom: -131.2
Crystal system: orthorhombic



> Look up the spin magnetization of the second one.

0.00 μB per formula unit